{"formula": "Rb2MnTe2", "functional": "PBE", "state": "optimized geometry", "lattice_angstrom": [[9.094, 0.000, 0.000], [2.990, 8.588, 0.000], [-5.804, -4.629, 5.252]], "species": ["Mn", "Mn", "Te", "Te", "Te", "Te", "Rb", "Rb", "Rb", "Rb"], "fractional_positions": [[0.000, 0.750, 0.750], [0.000, 0.250, 0.250], [0.085, 0.897, 0.189], [0.915, 0.103, 0.811], [0.292, 0.603, 0.689], [0.708, 0.397, 0.311], [0.468, 0.144, 0.324], [0.820, 0.644, 0.176], [0.532, 0.856, 0.676], [0.180, 0.356, 0.824]], "formation_energy_uncorrected_ev_per_atom": -0.76, "e_tot_ev_per_atom": -4.238, "total_magnetization_mub_per_fu": 5.000}

***

{"formula": "RbMn2Te4", "functional": "PBE", "state": "optimized geometry", "lattice_angstrom": [[7.816, -0.738, 0.429], [-1.305, 7.752, -0.432], [-2.702, -4.030, 8.315]], "species": ["Rb", "Rb", "Mn", "Mn", "Mn", "Mn", "Te", "Te", "Te", "Te", "Te", "Te", "Te", "Te"], "fractional_positions": [[0.225, 0.724, 0.499], [0.192, 0.192, 0.000], [0.606, 0.299, 0.675], [0.623, 0.931, 0.325], [0.694, 0.369, 0.404], [0.965, 0.290, 0.595], [0.902, 0.162, 0.278], [0.323, 0.729, 0.058], [0.884, 0.624, 0.721], [0.749, 0.998, 0.637], [0.361, 0.112, 0.364], [0.672, 0.267, 0.943], [0.338, 0.455, 0.739], [0.716, 0.600, 0.262]], "formation_energy_uncorrected_ev_per_atom": -0.29, "e_tot_ev_per_atom": -4.842, "total_magnetization_mub_per_fu": 7.869, "dos_at_fermi_per_ev_atom": 0.46}

***

{"formula": "Rb3Mn5Te12", "functional": "PBE", "state": "optimized geometry", "lattice_angstrom": [[-2.515, -10.283, -11.015], [13.870, 6.137, -1.833], [-0.777, -6.848, 13.634]], "species": ["Rb", "Rb", "Rb", "Rb", "Rb", "Rb", "Rb", "Rb", "Rb", "Rb", "Rb", "Rb", "Mn", "Mn", "Mn", "Mn", "Mn", "Mn", "Mn", "Mn", "Mn", "Mn", "Mn", "Mn", "Mn", "Mn", "Mn", "Mn", "Mn", "Mn", "Mn", "Mn", "Te", "Te", "Te", "Te", "Te", "Te", "Te", "Te", "Te", "Te", "Te", "Te", "Te", "Te", "Te", "Te", "Te", "Te", "Te", "Te", "Te", "Te", "Te", "Te", "Te", "Te", "Te", "Te", "Te", "Te", "Te", "Te", "Te", "Te", "Te", "Te", "Te", "Te", "Te", "Te", "Te", "Te", "Te", "Te", "Te", "Te", "Te", "Te"], "fractional_positions": [[0.750, 0.375, 0.125], [0.875, 0.750, 0.125], [0.375, 0.750, 0.625], [0.250, 0.125, 0.375], [0.875, 0.125, 0.250], [0.375, 0.625, 0.250], [0.625, 0.375, 0.750], [0.125, 0.875, 0.750], [0.750, 0.875, 0.625], [0.625, 0.250, 0.375], [0.125, 0.250, 0.875], [0.250, 0.625, 0.875], [0.125, 0.375, 0.250], [0.000, 0.500, 0.000], [0.000, 0.000, 0.000], [0.375, 0.250, 0.125], [0.500, 0.000, 0.500], [0.500, 0.500, 0.000], [0.125, 0.750, 0.375], [0.750, 0.125, 0.875], [0.750, 0.625, 0.375], [0.375, 0.125, 0.750], [0.625, 0.875, 0.250], [0.500, 0.500, 0.500], [0.500, 0.000, 0.000], [0.000, 0.000, 0.500], [0.250, 0.375, 0.625], [0.250, 0.875, 0.125], [0.000, 0.500, 0.500], [0.875, 0.250, 0.625], [0.625, 0.750, 0.875], [0.875, 0.625, 0.750], [0.692, 0.086, 0.002], [0.311, 0.502, 0.417], [0.998, 0.414, 0.308], [0.502, 0.192, 0.086], [0.606, 0.692, 0.689], [0.998, 0.583, 0.189], [0.311, 0.808, 0.394], [0.083, 0.894, 0.086], [0.583, 0.998, 0.689], [0.692, 0.606, 0.189], [0.808, 0.498, 0.414], [0.811, 0.917, 0.002], [0.086, 0.692, 0.502], [0.414, 0.417, 0.106], [0.106, 0.917, 0.414], [0.394, 0.086, 0.583], [0.106, 0.189, 0.192], [0.498, 0.689, 0.083], [0.811, 0.894, 0.308], [0.086, 0.394, 0.083], [0.414, 0.998, 0.808], [0.583, 0.586, 0.394], [0.917, 0.811, 0.502], [0.808, 0.311, 0.894], [0.417, 0.414, 0.606], [0.083, 0.189, 0.498], [0.192, 0.689, 0.106], [0.189, 0.106, 0.692], [0.586, 0.002, 0.192], [0.914, 0.606, 0.917], [0.502, 0.311, 0.917], [0.606, 0.914, 0.417], [0.894, 0.811, 0.808], [0.894, 0.083, 0.586], [0.914, 0.308, 0.498], [0.189, 0.083, 0.998], [0.586, 0.583, 0.894], [0.417, 0.002, 0.311], [0.308, 0.394, 0.811], [0.192, 0.502, 0.586], [0.917, 0.106, 0.914], [0.689, 0.192, 0.606], [0.498, 0.808, 0.914], [0.002, 0.417, 0.811], [0.394, 0.308, 0.311], [0.002, 0.586, 0.692], [0.689, 0.498, 0.583], [0.308, 0.914, 0.998]], "formation_energy_uncorrected_ev_per_atom": -0.20, "e_tot_ev_per_atom": -4.521, "total_magnetization_mub_per_fu": 13.961, "dos_at_fermi_per_ev_atom": 0.48}